Below is LaTaSnH2 after structural relaxation, with properties calculated at the PBE level.

abc: 4.294 5.376 4.294
angles: 90.00 90.00 90.00
Each line ends with the local moment (μB).
Positions (direct):
H1 0.500 0.000 0.000  0.00
H2 0.000 0.000 0.500  -0.01
Sn1 0.000 0.500 0.000  -0.01
Ta1 0.000 0.000 0.000  0.44
La1 0.500 0.500 0.500  0.02

Values from the calculation:
space-group type = P4/mmm
polymorph energy (0 for the lowest one) = 0.000 eV/atom